A plane-wave DFT calculation with PBE was carried out for a relaxed structure of Tl2ReAu.

```
Tl2ReAu
1.0
5.044 0.000 0.000
0.000 2.939 -0.002
0.000 0.000 5.558
Tl Re Au
2 1 1
Cartesian
0.000 1.477 2.797
0.000 2.931 5.537
2.522 2.204 4.167
2.522 0.735 1.389
```

=====

A plane-wave DFT calculation with PBE was carried out for a relaxed structure of Tl2ReAu.

```
Tl2ReAu
1.0
-0.241 -2.348 2.054
-0.259 -0.527 -3.074
9.735 -1.493 -0.564
Tl Re Au
2 1 1
Cartesian
9.670 -1.483 -0.561
4.933 -0.756 -0.286
7.052 -2.557 -0.933
2.184 -1.811 -0.651
```

=====

A plane-wave DFT calculation with PBE was carried out for a relaxed structure of TlReAu.

```
TlReAu
1.0
4.563 0.000 0.000
2.282 3.952 0.000
2.282 1.317 3.726
Au Tl Re
1 1 1
Cartesian
4.563 2.635 1.863
0.000 0.000 0.000
6.845 3.952 2.794
```

=====

A plane-wave DFT calculation with PBE was carried out for a relaxed structure of Tl2ReAu.

```
Tl2ReAu
1.0
-2.094 2.443 -6.288
-6.339 0.772 -3.019
5.019 1.074 4.852
Re Tl Au
1 2 1
Cartesian
-2.785 1.733 -1.429
-0.719 2.590 -3.126
-0.444 0.169 -0.490
-3.681 1.404 -4.063
```

=====

Number 1: E -16.86 eV/cell, DFT formation energy 0.900 eV/atom, energy relative to the lowest polymorph listed for this composition 223 meV/atom. Number 2: E -17.23 eV/cell, DFT formation energy 0.806 eV/atom, energy relative to the lowest polymorph listed for this composition 129 meV/atom. Number 3: E -14.69 eV/cell, DFT formation energy 1.135 eV/atom, energy relative to the lowest polymorph listed for this composition 355 meV/atom. Number 4: E -17.74 eV/cell, DFT formation energy 0.680 eV/atom, energy relative to the lowest polymorph listed for this composition 3 meV/atom.